{
  "formula": "RePbAu",
  "functional": "PBE",
  "state": "relaxed",
  "mass_density_kg_m3": 16393,
  "sg": "P3m1 (156)",
  "e_above_lowest_polymorph_mev_per_atom": 12,
  "dos_ef_per_ev_atom": 1.130,
  "e_tot_ev_per_atom": -5.621,
  "lattice": [[-2.902, -0.062, -0.908], [0.686, -0.429, 2.932], [-0.532, 7.350, 1.199]],
  "species": ["Pb", "Re", "Au"],
  "fractional_positions": [[0.333, 0.667, 0.348], [0.667, 0.333, 0.680], [0.000, 0.000, 0.972]]
}